Here is an optimized crystal structure of NaMg2H from the Alexandria database. Energies are from PBE.

Symmetry: I-42d, No. 122
Density of states at the Fermi level (states/eV/cell): 0.00
Energy (eV/atom): -1.83
Density (Mg/m³): 1.33
Calculated volume (Å³/cell): 180.8

Unit cell a=6.3528 b=6.3528 c=6.3442 alpha=59.95 beta=59.95 gamma=90.00
With the nearest neighbours (Å) after each atom.
Positions (direct):
Mg1 0.8750 0.6124 0.7500  2 H 1.95
Mg2 0.3876 0.6250 0.2500  2 H 1.95
Mg3 0.3624 0.1250 0.2500  2 H 1.95
Mg4 0.3750 0.6376 0.7500  2 H 1.95
Na1 0.7500 0.2500 0.5000  12 Mg 3.66-3.79, 4 H 3.89, 4 Na 3.89
Na2 0.0000 0.0000 0.0000  12 Mg 3.66-3.79, 4 H 3.89, 4 Na 3.89
H1 0.2500 0.7500 0.5000  4 Mg 1.95
H2 0.5000 0.5000 0.0000  4 Mg 1.95

Here is an optimized crystal structure of TaTlP2 from the Alexandria database. Energies are from PBE.

Symmetry: C2/m, No. 12
Density of states at the Fermi level (states/eV/cell): 1.81
Energy (eV/atom): -6.24
Density (Mg/m³): 8.81
Calculated volume (Å³/cell): 84.3

Unit cell a=4.5088 b=4.5088 c=6.2264 alpha=80.57 beta=80.57 gamma=42.58
With the nearest neighbours (Å) after each atom.
Positions (direct):
Ta1 0.7500 0.7500 0.7500  6 P 2.54-2.59
Tl1 0.2500 0.2500 0.2500  6 P 3.20-3.36, 2 Tl 3.27, 4 Ta 3.52
P1 0.4757 0.4757 0.6141  2 P 2.44, 3 Ta 2.54-2.59
P2 0.0243 0.0243 0.8859  2 P 2.44, 3 Ta 2.54-2.59

Here is an optimized crystal structure of PaPPd4 from the Alexandria database. Energies are from PBE.

Symmetry: Pmma, No. 51
Density of states at the Fermi level (states/eV/cell): 8.11
Energy (eV/atom): -6.58
Density (Mg/m³): 11.21
Calculated volume (Å³/cell): 203.7

Unit cell a=3.9825 b=6.7670 c=7.5593 alpha=90.00 beta=90.00 gamma=90.00
With the nearest neighbours (Å) after each atom.
Positions (direct):
Pa1 0.0000 0.3798 0.2500  1 P 2.73, 2 Pd 2.88
Pa2 0.0000 0.6202 0.7500  1 P 2.73, 2 Pd 2.88
Pd1 0.5000 0.0713 0.2500  8 Pd 2.79-2.98, 2 P 2.79, 2 Pa 2.88
Pd2 0.5000 0.6881 0.0556  2 P 2.56, 2 Pd 2.68-2.83
Pd3 0.5000 0.6881 0.4444  2 P 2.56, 2 Pd 2.68-2.83
Pd4 0.5000 0.3119 0.9444  2 P 2.56, 2 Pd 2.68-2.83
Pd5 0.5000 0.9287 0.7500  8 Pd 2.79-2.98, 2 P 2.79, 2 Pa 2.88
Pd6 0.5000 0.3119 0.5556  2 P 2.56, 2 Pd 2.68-2.83
Pd7 0.0000 0.0000 0.5000  2 P 2.39
Pd8 0.0000 0.0000 0.0000  2 P 2.39
P1 0.0000 0.2174 0.7500  6 Pd 2.39-2.56
P2 0.0000 0.7826 0.2500  6 Pd 2.39-2.56

Here is an optimized crystal structure of BaSnPd6Au from the Alexandria database. Energies are from PBE.

Symmetry: Imma, No. 74
Density of states at the Fermi level (states/eV/cell): 9.01
Energy (eV/atom): -4.57
Density (Mg/m³): 9.53
Calculated volume (Å³/cell): 380.5

Unit cell a=7.1312 b=9.8346 c=8.1447 alpha=127.14 beta=115.96 gamma=90.00
With the nearest neighbours (Å) after each atom.
Positions (direct):
Pd1 0.3179 0.1165 0.2558  1 Sn 2.61, 4 Pd 2.71-2.88, 1 Au 2.73
Pd2 0.0621 0.8835 0.7442  1 Sn 2.61, 4 Pd 2.71-2.88, 1 Au 2.73
Pd3 0.6821 0.8835 0.7442  1 Sn 2.61, 4 Pd 2.71-2.88, 1 Au 2.73
Pd4 0.9379 0.1165 0.2558  1 Sn 2.61, 4 Pd 2.71-2.88, 1 Au 2.73
Pd5 0.5659 0.8159 0.1319  2 Sn 2.56, 2 Au 2.68
Pd6 0.0621 0.3607 0.7442  1 Sn 2.61, 4 Pd 2.71-2.88, 1 Au 2.73
Pd7 0.9633 0.2133 0.9267  4 Pd 2.88, 2 Au 2.92, 1 Ba 3.14
Pd8 0.4341 0.1841 0.8681  2 Sn 2.56, 2 Au 2.68
Pd9 0.0367 0.7867 0.0733  4 Pd 2.88, 2 Au 2.92, 1 Ba 3.14
Pd10 0.3179 0.6393 0.2558  1 Sn 2.61, 4 Pd 2.71-2.88, 1 Au 2.73
Pd11 0.9379 0.6393 0.2558  1 Sn 2.61, 4 Pd 2.71-2.88, 1 Au 2.73
Pd12 0.6821 0.3607 0.7442  1 Sn 2.61, 4 Pd 2.71-2.88, 1 Au 2.73
Ba1 0.7470 0.4970 0.4941  6 Pd 3.14-3.40
Ba2 0.2530 0.5030 0.5059  6 Pd 3.14-3.40
Au1 0.5000 0.0000 0.5000  8 Pd 2.68-2.92
Au2 0.0000 0.0000 0.5000  8 Pd 2.68-2.92
Sn1 0.5000 0.0000 0.0000  6 Pd 2.56-2.61
Sn2 0.5000 0.5000 0.0000  6 Pd 2.56-2.61

Here is an optimized crystal structure of Ni3HgAu from the Alexandria database. Energies are from PBE.

Symmetry: Pm-3m, No. 221
Density of states at the Fermi level (states/eV/cell): 6.56
Energy (eV/atom): -3.06
Density (Mg/m³): 9.16
Calculated volume (Å³/cell): 104.0

Unit cell a=4.7033 b=4.7033 c=4.7033 alpha=90.00 beta=90.00 gamma=90.00
With the nearest neighbours (Å) after each atom.
Positions (direct):
Hg1 0.5000 0.5000 0.5000  12 Ni 3.33
Au1 0.0000 0.0000 0.0000  6 Ni 2.35
Ni1 0.5000 0.0000 0.0000  2 Au 2.35
Ni2 0.0000 0.0000 0.5000  2 Au 2.35
Ni3 0.0000 0.5000 0.0000  2 Au 2.35

Here is an optimized crystal structure of YZrFe2 from the Alexandria database. Energies are from PBE.

Symmetry: F-43m, No. 216
Density of states at the Fermi level (states/eV/cell): 4.49
Energy (eV/atom): -7.68
Density (Mg/m³): 6.90
Calculated volume (Å³/cell): 70.2

Unit cell a=4.6302 b=4.6302 c=4.6302 alpha=60.00 beta=60.00 gamma=60.00
With the nearest neighbours (Å) after each atom.
Positions (direct):
Zr1 0.7500 0.7500 0.7500  4 Fe 2.84, 4 Y 2.84
Fe1 0.2500 0.2500 0.2500  4 Y 2.84, 4 Fe 2.84
Fe2 0.0000 0.0000 0.0000  4 Fe 2.84, 4 Zr 2.84
Y1 0.5000 0.5000 0.5000  4 Zr 2.84, 4 Fe 2.84